Entry from the Alexandria database: Cs2BaSi2 after structural relaxation (PBE).

Properties
Its polymorph energy (0 for the lowest one) is 5.2 meV/atom. The crystal system is tetragonal.

Geometry as CIF:
```
data_Cs2BaSi2
_symmetry_space_group_name_H-M 'P 1'
_symmetry_Int_Tables_number 1
_cell_length_a 5.100
_cell_length_b 5.100
_cell_length_c 8.648
_cell_angle_alpha 72.85
_cell_angle_beta 72.85
_cell_angle_gamma 90.00
loop_
_symmetry_equiv_pos_as_xyz
'x,y,z'
loop_
_atom_site_label
_atom_site_type_symbol
_atom_site_fract_x
_atom_site_fract_y
_atom_site_fract_z
_atom_site_occupancy
Si1 Si 0.572 0.572 0.857 1
Si2 Si 0.428 0.428 0.143 1
Ba1 Ba 0.000 0.000 0.000 1
Cs1 Cs 0.250 0.750 0.500 1
Cs2 Cs 0.750 0.250 0.500 1
```

***

Entry from the Alexandria database: CsBa2Si2 after structural relaxation (PBE).

Properties
Its polymorph energy (0 for the lowest one) is 81.1 meV/atom. The crystal system is tetragonal.

Geometry as CIF:
```
data_CsBa2Si2
_symmetry_space_group_name_H-M 'P 1'
_symmetry_Int_Tables_number 1
_cell_length_a 5.781
_cell_length_b 5.781
_cell_length_c 7.228
_cell_angle_alpha 66.43
_cell_angle_beta 66.43
_cell_angle_gamma 90.00
loop_
_symmetry_equiv_pos_as_xyz
'x,y,z'
loop_
_atom_site_label
_atom_site_type_symbol
_atom_site_fract_x
_atom_site_fract_y
_atom_site_fract_z
_atom_site_occupancy
Ba1 Ba 0.750 0.250 0.500 1
Cs1 Cs 0.000 0.000 0.000 1
Ba2 Ba 0.250 0.750 0.500 1
Si1 Si 0.598 0.598 0.803 1
Si2 Si 0.402 0.402 0.197 1
```

***

Entry from the Alexandria database: CsBa2Si2 after structural relaxation (PBE).

Properties
Its polymorph energy (0 for the lowest one) is 0.0 meV/atom. The crystal system is tetragonal.

Geometry as CIF:
```
data_CsBa2Si2
_symmetry_space_group_name_H-M 'P 1'
_symmetry_Int_Tables_number 1
_cell_length_a 8.905
_cell_length_b 8.905
_cell_length_c 4.923
_cell_angle_alpha 90.00
_cell_angle_beta 90.00
_cell_angle_gamma 90.00
loop_
_symmetry_equiv_pos_as_xyz
'x,y,z'
loop_
_atom_site_label
_atom_site_type_symbol
_atom_site_fract_x
_atom_site_fract_y
_atom_site_fract_z
_atom_site_occupancy
Cs1 Cs 0.500 0.500 0.000 1
Si1 Si 0.407 0.907 0.000 1
Cs2 Cs 0.000 0.000 0.000 1
Ba1 Ba 0.830 0.330 0.500 1
Si2 Si 0.593 0.093 0.000 1
Si3 Si 0.093 0.407 0.000 1
Ba2 Ba 0.670 0.830 0.500 1
Si4 Si 0.907 0.593 0.000 1
Ba3 Ba 0.170 0.670 0.500 1
Ba4 Ba 0.330 0.170 0.500 1
```

***

Entry from the Alexandria database: Cs2BaSi2 after structural relaxation (PBE).

Properties
Its polymorph energy (0 for the lowest one) is 0.0 meV/atom. The crystal system is tetragonal.

Geometry as CIF:
```
data_Cs2BaSi2
_symmetry_space_group_name_H-M 'P 1'
_symmetry_Int_Tables_number 1
_cell_length_a 8.393
_cell_length_b 8.393
_cell_length_c 6.310
_cell_angle_alpha 90.00
_cell_angle_beta 90.00
_cell_angle_gamma 90.00
loop_
_symmetry_equiv_pos_as_xyz
'x,y,z'
loop_
_atom_site_label
_atom_site_type_symbol
_atom_site_fract_x
_atom_site_fract_y
_atom_site_fract_z
_atom_site_occupancy
Cs1 Cs 0.676 0.176 0.500 1
Ba1 Ba 0.500 0.500 0.000 1
Si1 Si 0.094 0.594 0.000 1
Ba2 Ba 0.000 0.000 0.000 1
Cs2 Cs 0.176 0.324 0.500 1
Si2 Si 0.406 0.094 0.000 1
Si3 Si 0.594 0.906 0.000 1
Si4 Si 0.906 0.406 0.000 1
Cs3 Cs 0.824 0.676 0.500 1
Cs4 Cs 0.324 0.824 0.500 1
```

***

Entry from the Alexandria database: CsBaZrSi2 after structural relaxation (PBE).

Properties
Its calculated total energy is -12.9 eV for the cell shown. The crystal system is tetragonal.

Geometry as CIF:
```
data_CsBaZrSi2
_symmetry_space_group_name_H-M 'P 1'
_symmetry_Int_Tables_number 1
_cell_length_a 5.641
_cell_length_b 6.034
_cell_length_c 5.641
_cell_angle_alpha 90.00
_cell_angle_beta 90.00
_cell_angle_gamma 90.00
loop_
_symmetry_equiv_pos_as_xyz
'x,y,z'
loop_
_atom_site_label
_atom_site_type_symbol
_atom_site_fract_x
_atom_site_fract_y
_atom_site_fract_z
_atom_site_occupancy
Si1 Si 0.500 0.000 0.000 1
Cs1 Cs 0.000 0.000 0.000 1
Si2 Si 0.000 0.000 0.500 1
Zr1 Zr 0.500 0.500 0.500 1
Ba1 Ba 0.000 0.500 0.000 1
```

***

Entry from the Alexandria database: CsBa2Sn after structural relaxation (PBE).

Properties
For the energy of formation, the calculation gives -0.2767 eV/atom. The crystal system is tetragonal.

Geometry as CIF:
```
data_CsBa2Sn
_symmetry_space_group_name_H-M 'P 1'
_symmetry_Int_Tables_number 1
_cell_length_a 4.434
_cell_length_b 4.434
_cell_length_c 11.970
_cell_angle_alpha 90.00
_cell_angle_beta 90.00
_cell_angle_gamma 90.00
loop_
_symmetry_equiv_pos_as_xyz
'x,y,z'
loop_
_atom_site_label
_atom_site_type_symbol
_atom_site_fract_x
_atom_site_fract_y
_atom_site_fract_z
_atom_site_occupancy
Ba1 Ba 0.000 0.000 0.845 1
Sn1 Sn 0.500 0.500 0.000 1
Ba2 Ba 0.000 0.000 0.155 1
Cs1 Cs 0.500 0.500 0.500 1
```

***

Please write out number 1 again, unchanged.
Entry from the Alexandria database: Cs2BaSi2 after structural relaxation (PBE).

Properties
Its polymorph energy (0 for the lowest one) is 5.2 meV/atom. The crystal system is tetragonal.

Geometry as CIF:
```
data_Cs2BaSi2
_symmetry_space_group_name_H-M 'P 1'
_symmetry_Int_Tables_number 1
_cell_length_a 5.100
_cell_length_b 5.100
_cell_length_c 8.648
_cell_angle_alpha 72.85
_cell_angle_beta 72.85
_cell_angle_gamma 90.00
loop_
_symmetry_equiv_pos_as_xyz
'x,y,z'
loop_
_atom_site_label
_atom_site_type_symbol
_atom_site_fract_x
_atom_site_fract_y
_atom_site_fract_z
_atom_site_occupancy
Si1 Si 0.572 0.572 0.857 1
Si2 Si 0.428 0.428 0.143 1
Ba1 Ba 0.000 0.000 0.000 1
Cs1 Cs 0.250 0.750 0.500 1
Cs2 Cs 0.750 0.250 0.500 1
```